# 1
A plane-wave DFT calculation with PBE was carried out for an optimized crystal structure of Ti2AlV2.

a = 6.8698 Å, b = 6.8698 Å, c = 3.3207 Å
α = 90.00°, β = 90.00°, γ = 90.00°
Atoms (fractional coordinates):
Ti 0.3654 0.8654 0.0000
Ti 0.8654 0.6346 0.0000
Ti 0.6346 0.1346 0.0000
Ti 0.1346 0.3654 0.0000
Al 0.0000 0.0000 0.0000
Al 0.5000 0.5000 0.0000
V 0.1676 0.6676 0.5000
V 0.6676 0.8324 0.5000
V 0.8324 0.3324 0.5000
V 0.3324 0.1676 0.5000

## Properties
**Space group**: P4/mbm, No. 127
**ΔE_f**: 0.48 eV/f.u.
**Total magnetic moment**: 0.0 Bohr magnetons per cell
**Excess energy over the best structure of this formula in the dataset**: 222.0 meV/atom

***

# 2
A plane-wave DFT calculation with PBE was carried out for an optimized crystal structure of Ti5Al2V4.

a = 5.1709 Å, b = 5.8349 Å, c = 7.0567 Å
α = 76.50°, β = 68.51°, γ = 63.70°
Atoms (fractional coordinates):
Ti 0.2338 0.1850 0.8336
Ti 0.7662 0.8150 0.1664
Ti 0.0000 0.5000 0.5000
Ti 0.7476 0.1850 0.8336
Ti 0.2524 0.8150 0.1664
Al 0.2758 0.6890 0.7595
Al 0.7242 0.3110 0.2405
V 0.2601 0.0436 0.4362
V 0.7399 0.9564 0.5638
V 0.7480 0.6194 0.8845
V 0.2520 0.3806 0.1155

## Properties
**Space group**: C2/m, No. 12
**ΔE_f**: 1.65 eV/f.u.
**Total magnetic moment**: 0.0 Bohr magnetons per cell

***

# 3
A plane-wave DFT calculation with PBE was carried out for an optimized crystal structure of Ti2AlV.

a = 4.5802 Å, b = 4.9863 Å, c = 5.5069 Å
α = 90.00°, β = 90.00°, γ = 90.00°
Atoms (fractional coordinates):
Ti 0.5000 0.1603 0.2502
Ti 0.5000 0.1603 0.7498
Ti 0.0000 0.8397 0.7502
Ti 0.0000 0.8397 0.2498
Al 0.5000 0.6597 0.5000
Al 0.0000 0.3403 0.0000
V 0.0000 0.3609 0.5000
V 0.5000 0.6391 0.0000

## Properties
**Space group**: Pmmn, No. 59
**ΔE_f**: -0.67 eV/f.u.
**Total magnetic moment**: 0.0 Bohr magnetons per cell

***

# 4
A plane-wave DFT calculation with PBE was carried out for an optimized crystal structure of TiAl2V2.

a = 6.9308 Å, b = 6.9308 Å, c = 3.1594 Å
α = 90.00°, β = 90.00°, γ = 90.00°
Atoms (fractional coordinates):
V 0.1719 0.6719 0.5000
V 0.6719 0.8281 0.5000
V 0.8281 0.3281 0.5000
V 0.3281 0.1719 0.5000
Al 0.3725 0.8725 0.0000
Al 0.8725 0.6275 0.0000
Al 0.6275 0.1275 0.0000
Al 0.1275 0.3725 0.0000
Ti 0.0000 0.0000 0.0000
Ti 0.5000 0.5000 0.0000

## Properties
**Space group**: P4/mbm, No. 127
**ΔE_f**: -0.67 eV/f.u.
**Total magnetic moment**: 0.0 Bohr magnetons per cell
**Excess energy over the best structure of this formula in the dataset**: 0.0 meV/atom

***

# 5
A plane-wave DFT calculation with PBE was carried out for an optimized crystal structure of Ti6Al5V.

a = 4.8211 Å, b = 5.7655 Å, c = 6.9394 Å
α = 90.00°, β = 92.90°, γ = 90.00°
Each line ends with the local moment (μB).
Atoms (fractional coordinates):
V 0.0000 0.0000 0.0000  0.61
Al 0.6611 0.5000 0.3375  0.00
Al 0.3378 0.0000 0.6690  0.00
Al 0.0000 0.5000 0.0000  0.00
Al 0.6622 0.0000 0.3310  0.00
Al 0.3389 0.5000 0.6625  0.00
Ti 0.8447 0.7529 0.6721  -0.04
Ti 0.8447 0.2471 0.6721  -0.04
Ti 0.5000 0.2456 0.0000  -0.05
Ti 0.5000 0.7544 0.0000  -0.05
Ti 0.1553 0.7529 0.3279  -0.04
Ti 0.1553 0.2471 0.3279  -0.04

## Properties
**Space group**: P2/m, No. 10
**ΔE_f**: -3.92 eV/f.u.
**Total magnetic moment**: 0.4 Bohr magnetons per cell

***

# 6
A plane-wave DFT calculation with PBE was carried out for an optimized crystal structure of TiAl3V8.

a = 5.0169 Å, b = 5.0169 Å, c = 8.0550 Å
α = 90.00°, β = 90.00°, γ = 120.00°
Atoms (fractional coordinates):
Ti 0.0000 0.0000 0.5613
Al 0.6667 0.3333 0.4432
Al 0.6667 0.3333 0.0636
Al 0.0000 0.0000 0.9313
V 0.3333 0.6667 0.5025
V 0.3333 0.6667 0.0045
V 0.5011 0.0022 0.7508
V 0.5011 0.4989 0.7508
V 0.9978 0.4989 0.7508
V 0.1636 0.3273 0.2471
V 0.1636 0.8364 0.2471
V 0.6727 0.8364 0.2471

## Properties
**Space group**: P3m1, No. 156
**ΔE_f**: 0.43 eV/f.u.
**Total magnetic moment**: 0.0 Bohr magnetons per cell

***

# 7
A plane-wave DFT calculation with PBE was carried out for an optimized crystal structure of Ti2AlV9.

a = 5.1271 Å, b = 5.1271 Å, c = 8.4322 Å
α = 72.30°, β = 72.30°, γ = 60.00°
Atoms (fractional coordinates):
Ti 0.8542 0.8542 0.4373
Ti 0.1458 0.1458 0.5627
Al 0.0000 0.0000 0.0000
V 0.6674 0.6674 0.9979
V 0.3326 0.3326 0.0021
V 0.5000 0.5000 0.5000
V 0.4141 0.4141 0.2517
V 0.9201 0.4141 0.2517
V 0.4141 0.9201 0.2517
V 0.5859 0.5859 0.7483
V 0.5859 0.0799 0.7483
V 0.0799 0.5859 0.7483

## Properties
**Space group**: R-3m, No. 166
**ΔE_f**: 2.52 eV/f.u.
**Total magnetic moment**: 0.0 Bohr magnetons per cell

***

# 8
A plane-wave DFT calculation with PBE was carried out for an optimized crystal structure of Ti2AlV.

a = 6.7623 Å, b = 6.5228 Å, c = 5.7227 Å
α = 90.00°, β = 90.00°, γ = 90.00°
Atoms (fractional coordinates):
Ti 0.7775 0.2499 0.7501
Ti 0.2775 0.7501 0.2499
Ti 0.2775 0.7499 0.7499
Ti 0.7775 0.2501 0.2501
Ti 0.3476 0.2499 0.7501
Ti 0.8476 0.7501 0.2499
Ti 0.8476 0.7499 0.7499
Ti 0.3476 0.2501 0.2501
Al 0.0625 0.4610 0.0000
Al 0.5625 0.5390 0.0000
Al 0.5625 0.9610 0.5000
Al 0.0625 0.0390 0.5000
V 0.0626 0.0518 0.0001
V 0.5626 0.9482 0.9999
V 0.5626 0.5518 0.4999
V 0.0626 0.4482 0.5001

## Properties
**Space group**: Imma, No. 74
**ΔE_f**: -0.64 eV/f.u.
**Total magnetic moment**: 0.0 Bohr magnetons per cell

***

# 9
A plane-wave DFT calculation with PBE was carried out for an optimized crystal structure of Ti2AlV2.

a = 4.1824 Å, b = 5.5327 Å, c = 7.3718 Å
α = 109.71°, β = 106.48°, γ = 90.00°
Atoms (fractional coordinates):
Ti 0.3929 0.8844 0.7858
Ti 0.3929 0.3844 0.7858
Ti 0.6071 0.1156 0.2142
Ti 0.6071 0.6156 0.2142
Al 0.0000 0.2500 0.0000
Al 0.0000 0.7500 0.0000
V 0.2102 0.5291 0.4205
V 0.7898 0.9709 0.5795
V 0.7898 0.4709 0.5795
V 0.2102 0.0291 0.4205

## Properties
**Space group**: C2/m, No. 12
**ΔE_f**: -0.63 eV/f.u.
**Total magnetic moment**: 0.0 Bohr magnetons per cell
**Excess energy over the best structure of this formula in the dataset**: 0.0 meV/atom

***

# 10
A plane-wave DFT calculation with PBE was carried out for an optimized crystal structure of Ti2Al3V5.

a = 4.9480 Å, b = 8.4839 Å, c = 8.4839 Å
α = 97.62°, β = 73.05°, γ = 73.05°
Atoms (fractional coordinates):
Ti 0.0957 0.7106 0.0981
Ti 0.5957 0.0981 0.7106
Ti 0.9043 0.2894 0.9019
Ti 0.4043 0.9019 0.2894
Al 0.3775 0.4585 0.7865
Al 0.8775 0.7865 0.4585
Al 0.6225 0.5415 0.2135
Al 0.1225 0.2135 0.5415
Al 0.2500 0.0000 0.0000
Al 0.7500 0.0000 0.0000
V 0.3130 0.3302 0.0437
V 0.8130 0.0437 0.3302
V 0.6870 0.6698 0.9563
V 0.1870 0.9563 0.6698
V 0.5065 0.7435 0.7435
V 0.4935 0.2565 0.2565
V 0.7500 0.5000 0.5000
V 0.2500 0.5000 0.5000
V 0.9935 0.2565 0.2565
V 0.0065 0.7435 0.7435

## Properties
**Space group**: Ibam, No. 72
**ΔE_f**: 1.56 eV/f.u.
**Total magnetic moment**: 0.0 Bohr magnetons per cell

***

# 11
A plane-wave DFT calculation with PBE was carried out for an optimized crystal structure of Ti2AlV.

a = 7.0690 Å, b = 7.0690 Å, c = 5.6516 Å
α = 51.29°, β = 51.29°, γ = 90.00°
Each line ends with the local moment (μB).
Atoms (fractional coordinates):
Ti 0.6348 0.1250 0.2500  -0.01
Ti 0.1152 0.6250 0.2500  -0.01
Ti 0.3750 0.3652 0.7500  -0.01
Ti 0.8750 0.8848 0.7500  -0.01
Al 0.5000 0.5000 0.0000  -0.01
Al 0.2500 0.7500 0.5000  -0.01
V 0.0000 0.0000 0.0000  0.25
V 0.7500 0.2500 0.5000  0.25

## Properties
**Space group**: I-42d, No. 122
**ΔE_f**: 1.28 eV/f.u.
**Total magnetic moment**: 0.5 Bohr magnetons per cell

***

# 12
A plane-wave DFT calculation with PBE was carried out for an optimized crystal structure of Ti2AlV.

a = 3.7073 Å, b = 4.1181 Å, c = 4.1181 Å
α = 90.00°, β = 90.00°, γ = 90.00°
Each line ends with the local moment (μB).
Atoms (fractional coordinates):
Ti 0.0000 0.0000 0.5000  0.04
Ti 0.0000 0.5000 0.0000  0.04
Al 0.5000 0.5000 0.5000  0.00
V 0.5000 0.0000 0.0000  0.83

## Properties
**Space group**: P4/mmm, No. 123
**ΔE_f**: -0.74 eV/f.u.
**Total magnetic moment**: 1.1 Bohr magnetons per cell

***

What did the tenth record say?
A plane-wave DFT calculation with PBE was carried out for an optimized crystal structure of Ti2Al3V5.

a = 4.9480 Å, b = 8.4839 Å, c = 8.4839 Å
α = 97.62°, β = 73.05°, γ = 73.05°
Atoms (fractional coordinates):
Ti 0.0957 0.7106 0.0981
Ti 0.5957 0.0981 0.7106
Ti 0.9043 0.2894 0.9019
Ti 0.4043 0.9019 0.2894
Al 0.3775 0.4585 0.7865
Al 0.8775 0.7865 0.4585
Al 0.6225 0.5415 0.2135
Al 0.1225 0.2135 0.5415
Al 0.2500 0.0000 0.0000
Al 0.7500 0.0000 0.0000
V 0.3130 0.3302 0.0437
V 0.8130 0.0437 0.3302
V 0.6870 0.6698 0.9563
V 0.1870 0.9563 0.6698
V 0.5065 0.7435 0.7435
V 0.4935 0.2565 0.2565
V 0.7500 0.5000 0.5000
V 0.2500 0.5000 0.5000
V 0.9935 0.2565 0.2565
V 0.0065 0.7435 0.7435

## Properties
**Space group**: Ibam, No. 72
**ΔE_f**: 1.56 eV/f.u.
**Total magnetic moment**: 0.0 Bohr magnetons per cell